{
  "formula": "La3Pr8Tl4",
  "functional": "GGA-PBE",
  "state": "relaxed",
  "final_energy_ev_per_cell": -62.0,
  "total_magnetization_mub_per_cell": 0.0,
  "formation_enthalpy_0k_ev_per_atom": 0.0299,
  "lattice": [[11.715, -0.183, -0.263], [-5.807, 7.371, -0.740], [-5.807, -3.253, 6.656]],
  "species": ["La", "La", "La", "Pr", "Pr", "Pr", "Pr", "Pr", "Pr", "Pr", "Pr", "Tl", "Tl", "Tl", "Tl"],
  "fractional_positions": [[0.500, 0.500, 0.000], [0.500, 0.000, 0.500], [0.500, 0.500, 0.500], [0.503, 0.236, 0.236], [0.000, 0.743, 0.257], [0.993, 0.246, 0.246], [0.500, 0.759, 0.241], [0.500, 0.241, 0.759], [0.007, 0.754, 0.754], [0.000, 0.257, 0.743], [0.497, 0.764, 0.764], [0.500, 0.000, 0.000], [0.000, 0.500, 0.000], [0.000, 0.000, 0.000], [0.000, 0.000, 0.500]]
}

=====

{
  "formula": "La2Pr3Tl2",
  "functional": "GGA-PBE",
  "state": "relaxed",
  "final_energy_ev_per_cell": -30.3,
  "total_magnetization_mub_per_cell": 0.0,
  "formation_enthalpy_0k_ev_per_atom": -0.2022,
  "lattice": [[5.457, 0.000, 0.000], [-2.729, 6.033, 0.219], [0.000, -0.008, 7.175]],
  "species": ["La", "La", "Pr", "Pr", "Pr", "Tl", "Tl"],
  "fractional_positions": [[0.603, 0.206, 0.670], [0.397, 0.794, 0.330], [0.295, 0.590, 0.843], [0.000, 0.000, 0.000], [0.705, 0.410, 0.157], [0.121, 0.243, 0.407], [0.879, 0.757, 0.593]]
}

=====

{
  "formula": "La2Pr2Tl3",
  "functional": "GGA-PBE",
  "state": "relaxed",
  "final_energy_ev_per_cell": -28.5,
  "total_magnetization_mub_per_cell": 0.0,
  "formation_enthalpy_0k_ev_per_atom": -0.2790,
  "lattice": [[-3.869, 3.991, 0.210], [-1.687, -5.158, -6.657], [-3.811, -3.780, 1.556]],
  "species": ["La", "La", "Pr", "Pr", "Tl", "Tl", "Tl"],
  "fractional_positions": [[0.877, 0.754, 0.623], [0.123, 0.246, 0.377], [0.622, 0.243, 0.877], [0.378, 0.757, 0.123], [0.000, 0.000, 0.000], [0.750, 0.499, 0.250], [0.250, 0.501, 0.750]]
}

=====

{
  "formula": "La14PrTl",
  "functional": "GGA-PBE",
  "state": "relaxed",
  "final_energy_ev_per_cell": -76.9,
  "total_magnetization_mub_per_cell": 0.0,
  "formation_enthalpy_0k_ev_per_atom": -0.0502,
  "lattice": [[-3.175, 4.082, -5.230], [-3.150, -6.029, -2.799], [-8.274, 1.462, 6.164]],
  "species": ["La", "La", "La", "La", "La", "La", "La", "La", "La", "La", "La", "La", "La", "La", "Pr", "Tl"],
  "fractional_positions": [[0.375, 0.625, 0.500], [0.875, 0.125, 0.500], [0.875, 0.625, 0.000], [0.875, 0.625, 0.500], [0.375, 0.125, 0.000], [0.375, 0.125, 0.500], [0.619, 0.869, 0.755], [0.619, 0.869, 0.245], [0.131, 0.381, 0.755], [0.131, 0.381, 0.245], [0.131, 0.869, 0.755], [0.131, 0.869, 0.245], [0.619, 0.381, 0.755], [0.619, 0.381, 0.245], [0.875, 0.125, 0.000], [0.375, 0.625, 0.000]]
}